(1)
The following is a PBE calculation of a relaxed structure of VCu3Au, from the Alexandria database.

Cell lengths 4.7071, 4.7071, 4.7071 Å; angles 90.00, 90.00, 90.00 degrees
With the nearest neighbours (Å) after each atom.
Atoms (fractional coordinates):
Cu 0.0000 0.5000 0.0000  2 Au 2.35
Au 0.0000 0.0000 0.0000  6 Cu 2.35
Cu 0.5000 0.0000 0.0000  2 Au 2.35
Cu 0.0000 0.0000 0.5000  2 Au 2.35
V 0.5000 0.5000 0.5000  12 Cu 3.33

Properties
The uncorrected energy is -3.856 eV/atom. The calculation puts the energy of formation at 1081 meV/atom. The mass density comes out at 6.98 Mg/m³. The crystal system is cubic.

***

(2)
The following is a PBE calculation of a relaxed structure of Tb7NdDy3, from the Alexandria database.

Cell lengths 8.6187, 7.0811, 7.0811 Å; angles 120.00, 90.00, 90.00 degrees
With the nearest neighbours (Å) after each atom.
Atoms (fractional coordinates):
Tb 0.4501 0.3359 0.1680  7 Tb 3.49-3.57, 2 Dy 3.53, 2 Nd 3.54
Dy 0.7843 0.5005 0.4995  5 Tb 3.51-3.54, 4 Dy 3.53-3.55, 1 Nd 3.57
Tb 0.1154 0.1678 0.3356  1 Nd 3.49, 2 Dy 3.51, 8 Tb 3.52-3.56
Tb 0.4501 0.8320 0.1680  7 Tb 3.49-3.57, 2 Dy 3.53, 2 Nd 3.54
Tb 0.1154 0.1678 0.8322  1 Nd 3.49, 2 Dy 3.51, 8 Tb 3.52-3.56
Tb 0.1154 0.6644 0.8322  1 Nd 3.49, 2 Dy 3.51, 8 Tb 3.52-3.56
Tb 0.4501 0.8320 0.6641  7 Tb 3.49-3.57, 2 Dy 3.53, 2 Nd 3.54
Dy 0.7843 0.5005 0.0009  5 Tb 3.51-3.54, 4 Dy 3.53-3.55, 1 Nd 3.57
Dy 0.7843 0.9991 0.4995  5 Tb 3.51-3.54, 4 Dy 3.53-3.55, 1 Nd 3.57
Tb 0.1202 0.6667 0.3333  9 Tb 3.49-3.54, 3 Dy 3.54
Nd 0.4454 0.3333 0.6667  9 Tb 3.49-3.54, 3 Dy 3.57

Properties
The uncorrected energy is -4.444 eV/atom. The calculation puts the energy of formation at 191 meV/atom. The mass density comes out at 7.74 Mg/m³. The crystal system is trigonal.

***

(3)
The following is a PBE calculation of a relaxed structure of Ga3CuPt2, from the Alexandria database.

Cell lengths 6.9908, 5.6322, 7.0364 Å; angles 113.59, 119.79, 90.00 degrees
With the nearest neighbours (Å) after each atom.
Atoms (fractional coordinates):
Pt 0.5608 0.3540 0.7081  6 Ga 2.56-2.58, 1 Cu 2.59
Ga 0.2089 0.9589 0.4179  4 Pt 2.56-2.58, 2 Cu 2.67, 2 Ga 2.82
Ga 0.7911 0.5411 0.5821  4 Pt 2.56-2.58, 2 Cu 2.67, 2 Ga 2.82
Ga 0.2089 0.4589 0.4179  4 Pt 2.56-2.58, 2 Cu 2.67, 2 Ga 2.82
Pt 0.4392 0.6460 0.2919  6 Ga 2.56-2.58, 1 Cu 2.59
Cu 0.0000 0.5000 0.0000  2 Pt 2.59, 4 Ga 2.67, 2 Cu 2.82
Ga 0.5000 0.2500 0.0000  4 Pt 2.56, 2 Ga 2.82
Pt 0.1473 0.8540 0.7081  6 Ga 2.56-2.58, 1 Cu 2.59
Cu 0.0000 0.0000 0.0000  2 Pt 2.59, 4 Ga 2.67, 2 Cu 2.82
Ga 0.7911 0.0411 0.5821  4 Pt 2.56-2.58, 2 Cu 2.67, 2 Ga 2.82
Pt 0.8527 0.1460 0.2919  6 Ga 2.56-2.58, 1 Cu 2.59
Ga 0.5000 0.7500 0.0000  4 Pt 2.56, 2 Ga 2.82

Properties
The uncorrected energy is -4.586 eV/atom. The calculation puts the energy of formation at -376 meV/atom. The mass density comes out at 10.32 Mg/m³. The crystal system is orthorhombic.

***

(4)
The following is a PBE calculation of a relaxed structure of MnNb2Se5, from the Alexandria database.

Cell lengths 5.1099, 6.8487, 11.5873 Å; angles 90.00, 90.00, 111.90 degrees
With the nearest neighbours (Å) after each atom.
Atoms (fractional coordinates):
Se 0.3414 0.6829 0.4067  3 Nb 2.56-2.66, 1 Mn 2.59
Nb 0.8232 0.6464 0.4657  5 Se 2.46-2.71
Mn 0.8042 0.6084 0.7500  6 Se 2.48-2.62
Se 0.6586 0.3171 0.9067  3 Nb 2.56-2.66, 1 Mn 2.59
Mn 0.1958 0.3916 0.2500  6 Se 2.48-2.62
Nb 0.1768 0.3536 0.9657  5 Se 2.46-2.71
Nb 0.1768 0.3536 0.5343  5 Se 2.46-2.71
Se 0.9578 0.9155 0.6178  1 Nb 2.46, 1 Mn 2.48
Se 0.6586 0.3171 0.5933  3 Nb 2.56-2.66, 1 Mn 2.59
Se 0.3414 0.6829 0.0933  3 Nb 2.56-2.66, 1 Mn 2.59
Nb 0.8232 0.6464 0.0343  5 Se 2.46-2.71
Se 0.7416 0.4832 0.2500  2 Mn 2.62, 2 Nb 2.71
Se 0.9578 0.9155 0.8822  1 Nb 2.46, 1 Mn 2.48
Se 0.0422 0.0845 0.1178  1 Nb 2.46, 1 Mn 2.48
Se 0.0422 0.0845 0.3822  1 Nb 2.46, 1 Mn 2.48
Se 0.2584 0.5168 0.7500  2 Mn 2.62, 2 Nb 2.71

Properties
The uncorrected energy is -6.374 eV/atom. The mass density comes out at 5.61 Mg/m³. The crystal system is orthorhombic. The uncorrected formation energy comes out at -51.3 kJ per mole of atoms.

***

(5)
The following is a PBE calculation of a relaxed structure of FeMoPtAu2, from the Alexandria database.

Cell lengths 5.0112, 4.8028, 5.0112 Å; angles 90.00, 90.00, 90.00 degrees
With the nearest neighbours (Å) after each atom.
Atoms (fractional coordinates):
Au 0.0000 0.0000 0.5000  2 Mo 2.51
Fe 0.5000 0.5000 0.5000  8 Au 3.47, 4 Pt 3.54
Mo 0.0000 0.0000 0.0000  2 Pt 2.40, 4 Au 2.51
Au 0.5000 0.0000 0.0000  2 Mo 2.51
Pt 0.0000 0.5000 0.0000  2 Mo 2.40

Properties
The uncorrected energy is -4.895 eV/atom. The calculation puts the energy of formation at 1483 meV/atom. The mass density comes out at 10.20 Mg/m³. The crystal system is tetragonal.

***

(6)
The following is a PBE calculation of a relaxed structure of BaTlHg2, from the Alexandria database.

Cell lengths 4.6129, 5.3191, 5.3191 Å; angles 90.00, 90.00, 90.00 degrees
With the nearest neighbours (Å) after each atom.
Atoms (fractional coordinates):
Hg 0.0000 0.0000 0.5000  4 Ba 3.52, 4 Tl 3.52, 4 Hg 3.76
Tl 0.5000 0.0000 0.0000  8 Hg 3.52, 4 Ba 3.76
Hg 0.0000 0.5000 0.0000  4 Ba 3.52, 4 Tl 3.52, 4 Hg 3.76
Ba 0.5000 0.5000 0.5000  8 Hg 3.52, 4 Tl 3.76

Properties
The uncorrected energy is -1.543 eV/atom. The calculation puts the energy of formation at -320 meV/atom. The mass density comes out at 9.45 Mg/m³. The crystal system is tetragonal.

***

(7)
The following is a PBE calculation of a relaxed structure of ErThInGa, from the Alexandria database.

Cell lengths 5.2785, 5.2785, 5.2785 Å; angles 60.00, 60.00, 60.00 degrees
With the nearest neighbours (Å) after each atom.
Atoms (fractional coordinates):
In 0.5000 0.5000 0.5000  4 Th 3.23, 4 Er 3.23
Er 0.2500 0.2500 0.2500  4 In 3.23, 4 Ga 3.23
Th 0.7500 0.7500 0.7500  4 In 3.23, 4 Ga 3.23
Ga 0.0000 0.0000 0.0000  4 Er 3.23, 4 Th 3.23

Properties
The uncorrected energy is -4.791 eV/atom. The calculation puts the energy of formation at -354 meV/atom. The mass density comes out at 9.32 Mg/m³. The crystal system is cubic.

***

(8)
The following is a PBE calculation of a relaxed structure of Li4PmCd4, from the Alexandria database.

Cell lengths 6.2485, 6.2485, 9.8665 Å; angles 90.00, 90.00, 90.00 degrees
With the nearest neighbours (Å) after each atom.
Atoms (fractional coordinates):
Li 0.0000 0.2799 0.4216  5 Cd 2.75-2.89, 3 Li 2.75-2.92
Cd 0.0000 0.2701 0.7086  5 Li 2.75-2.89, 1 Cd 2.87
Pm 0.5000 0.5000 0.5000  4 Cd 3.33, 8 Li 3.50
Cd 0.7299 0.0000 0.2914  5 Li 2.75-2.89, 1 Cd 2.87
Cd 0.0000 0.7299 0.7086  5 Li 2.75-2.89, 1 Cd 2.87
Li 0.5000 0.2201 0.0784  5 Cd 2.75-2.89, 3 Li 2.75-2.92
Cd 0.7701 0.5000 0.2086  5 Li 2.75-2.89, 1 Cd 2.87
Li 0.0000 0.7201 0.4216  5 Cd 2.75-2.89, 3 Li 2.75-2.92
Li 0.7799 0.5000 0.9216  5 Cd 2.75-2.89, 3 Li 2.75-2.92
Cd 0.5000 0.7701 0.7914  5 Li 2.75-2.89, 1 Cd 2.87
Li 0.5000 0.7799 0.0784  5 Cd 2.75-2.89, 3 Li 2.75-2.92
Li 0.7201 0.0000 0.5784  5 Cd 2.75-2.89, 3 Li 2.75-2.92
Pm 0.0000 0.0000 0.0000  4 Cd 3.33, 8 Li 3.50
Li 0.2799 0.0000 0.5784  5 Cd 2.75-2.89, 3 Li 2.75-2.92
Li 0.2201 0.5000 0.9216  5 Cd 2.75-2.89, 3 Li 2.75-2.92
Cd 0.2701 0.0000 0.2914  5 Li 2.75-2.89, 1 Cd 2.87
Cd 0.2299 0.5000 0.2086  5 Li 2.75-2.89, 1 Cd 2.87
Cd 0.5000 0.2299 0.7914  5 Li 2.75-2.89, 1 Cd 2.87

Properties
The uncorrected energy is -1.907 eV/atom. The calculation puts the energy of formation at -122 meV/atom. The mass density comes out at 5.37 Mg/m³. The crystal system is tetragonal.

***

(9)
The following is a PBE calculation of a relaxed structure of PdPt2F, from the Alexandria database.

Cell lengths 4.3698, 4.3698, 4.3698 Å; angles 60.00, 60.00, 60.00 degrees
With the nearest neighbours (Å) after each atom.
Atoms (fractional coordinates):
F 0.0000 0.0000 0.0000  8 Pt 2.68
Pt 0.7500 0.7500 0.7500  4 Pd 2.68, 4 F 2.68
Pt 0.2500 0.2500 0.2500  4 F 2.68, 4 Pd 2.68
Pd 0.5000 0.5000 0.5000  8 Pt 2.68

Properties
The uncorrected energy is -4.588 eV/atom. The mass density comes out at 14.51 Mg/m³. The crystal system is cubic. The uncorrected formation energy comes out at 19.1 kJ per mole of atoms.

***

(10)
The following is a PBE calculation of a relaxed structure of ZrPa2S3, from the Alexandria database.

Cell lengths 6.6167, 6.6167, 12.1676 Å; angles 100.40, 100.40, 109.65 degrees
With the nearest neighbours (Å) after each atom.
Atoms (fractional coordinates):
Zr 0.9173 0.9173 0.8346  6 S 2.64-2.65
Pa 0.5002 0.0002 0.0004  6 S 2.71-2.78
Pa 0.8331 0.3331 0.6662  6 S 2.71-2.77
S 0.2382 0.2382 0.0000  2 Zr 2.64, 4 Pa 2.71-2.77
S 0.7618 0.7618 0.0000  2 Zr 2.64, 4 Pa 2.71-2.77
Pa 0.4169 0.4169 0.8338  6 S 2.71-2.77
S 0.1657 0.6761 0.8291  2 Zr 2.65, 4 Pa 2.71-2.78
S 0.0843 0.0739 0.6709  2 Zr 2.65, 4 Pa 2.71-2.78
Zr 0.1673 0.6673 0.3346  6 S 2.64-2.65
Zr 0.0827 0.0827 0.1654  6 S 2.64-2.65
Pa 0.6669 0.1669 0.3338  6 S 2.71-2.77
S 0.3239 0.8343 0.1709  2 Zr 2.65, 4 Pa 2.71-2.78
S 0.4882 0.9882 0.5000  2 Zr 2.64, 4 Pa 2.71-2.77
S 0.5866 0.5970 0.6709  2 Zr 2.65, 4 Pa 2.71-2.78
Zr 0.3327 0.8327 0.6654  6 S 2.64-2.65
Pa 0.5831 0.5831 0.1662  6 S 2.71-2.77
S 0.6634 0.1530 0.8291  2 Zr 2.65, 4 Pa 2.71-2.78
S 0.8470 0.3366 0.1709  2 Zr 2.65, 4 Pa 2.71-2.78
S 0.4030 0.4134 0.3291  2 Zr 2.65, 4 Pa 2.71-2.78
S 0.0118 0.5118 0.5000  2 Zr 2.64, 4 Pa 2.71-2.77
Pa 0.9998 0.4998 0.9996  6 S 2.71-2.78
S 0.9261 0.9157 0.3291  2 Zr 2.65, 4 Pa 2.71-2.78
Pa 0.7498 0.7498 0.4996  6 S 2.71-2.78
Pa 0.2502 0.2502 0.5004  6 S 2.71-2.78

Properties
The uncorrected energy is -8.206 eV/atom. The mass density comes out at 9.05 Mg/m³. The crystal system is orthorhombic. The uncorrected formation energy comes out at -149.8 kJ per mole of atoms.

***

(11)
The following is a PBE calculation of a relaxed structure of Y5ZrCd4, from the Alexandria database.

Cell lengths 3.6160, 3.6160, 20.3951 Å; angles 90.00, 90.00, 90.00 degrees
With the nearest neighbours (Å) after each atom.
Atoms (fractional coordinates):
Cd 0.0000 0.0000 0.4037  8 Y 3.22-3.23
Cd 0.0000 0.0000 0.5963  8 Y 3.22-3.23
Y 0.5000 0.5000 0.6928  8 Cd 3.23-3.26
Y 0.5000 0.5000 0.8933  4 Cd 3.29, 4 Zr 3.36, 4 Y 3.62
Cd 0.0000 0.0000 0.2083  8 Y 3.26-3.29, 4 Cd 3.62
Cd 0.0000 0.0000 0.7917  8 Y 3.26-3.29, 4 Cd 3.62
Y 0.5000 0.5000 0.5000  8 Cd 3.22
Zr 0.0000 0.0000 0.0000  8 Y 3.36, 4 Zr 3.62
Y 0.5000 0.5000 0.3072  8 Cd 3.23-3.26
Y 0.5000 0.5000 0.1067  4 Cd 3.29, 4 Zr 3.36, 4 Y 3.62

Properties
The uncorrected energy is -4.702 eV/atom. The calculation puts the energy of formation at -249 meV/atom. The mass density comes out at 6.14 Mg/m³. The crystal system is tetragonal.

***

(12)
The following is a PBE calculation of a relaxed structure of LiLaHoSb, from the Alexandria database.

Cell lengths 5.3283, 5.3283, 5.3283 Å; angles 60.00, 60.00, 60.00 degrees
With the nearest neighbours (Å) after each atom.
Atoms (fractional coordinates):
Ho 0.7500 0.7500 0.7500  4 Li 3.26, 4 Sb 3.26
Sb 0.5000 0.5000 0.5000  4 Ho 3.26, 4 La 3.26
Li 0.0000 0.0000 0.0000  4 La 3.26, 4 Ho 3.26
La 0.2500 0.2500 0.2500  4 Sb 3.26, 4 Li 3.26

Properties
The uncorrected energy is -4.352 eV/atom. The mass density comes out at 6.71 Mg/m³. The crystal system is cubic. The uncorrected formation energy comes out at -45.0 kJ per mole of atoms.